## A
Entry from Alexandria via LeMat-Bulk: a relaxed structure of LaIn3S (PBE).

Cell lengths 5.3205, 5.3205, 5.3205 Å; angles 90.00, 90.00, 90.00 degrees
Closest atoms and distances in Å follow each position.
Sites, in units of the cell vectors:
In 0.5000 0.0000 0.0000  2 S 2.66
In 0.0000 0.5000 0.0000  2 S 2.66
In 0.0000 0.0000 0.5000  2 S 2.66
S 0.0000 0.0000 0.0000  6 In 2.66
La 0.5000 0.5000 0.5000  12 In 3.76

Computed properties:
SG: Pm-3m (221)
DOS(E_F) in states/eV/f.u.: 5.7

=====

## B
Entry from Alexandria via LeMat-Bulk: a relaxed structure of LaIn3S (PBE).

Cell lengths 6.1601, 6.1601, 6.1601 Å; angles 90.00, 90.00, 90.00 degrees
Closest atoms and distances in Å follow each position.
Sites, in units of the cell vectors:
In 0.0000 0.0000 0.5000  2 La 3.08
In 0.5000 0.0000 0.0000  2 La 3.08
In 0.0000 0.5000 0.0000  2 La 3.08
S 0.5000 0.5000 0.5000  12 In 4.36
La 0.0000 0.0000 0.0000  6 In 3.08

Computed properties:
SG: Pm-3m (221)
DOS(E_F) in states/eV/f.u.: 4.9

=====

The winner here is A, beating the second structure by 85.6 kJ/mol of atoms.

=====

## A
Entry from Alexandria via LeMat-Bulk: a relaxed structure of La2InSb (PBE).

Cell lengths 5.8317, 5.8317, 5.8317 Å; angles 127.70, 127.62, 77.17 degrees
Closest atoms and distances in Å follow each position.
Sites, in units of the cell vectors:
In 0.2500 0.7500 0.5000  8 La 3.44, 4 Sb 3.64
La 0.5001 0.5001 0.0000  4 Sb 3.43-3.44, 4 In 3.44, 4 La 3.64
La 0.9999 0.9999 0.0000  4 Sb 3.43-3.44, 4 In 3.44, 4 La 3.64
Sb 0.7500 0.2500 0.5000  8 La 3.43-3.44, 4 In 3.64

Computed properties:
SG: I4/mmm (139)
DOS(E_F) in states/eV/f.u.: 4.2

=====

## B
Entry from Alexandria via LeMat-Bulk: a relaxed structure of La2InSb (PBE).

Cell lengths 8.7539, 8.7539, 7.1095 Å; angles 52.00, 52.00, 90.00 degrees
Closest atoms and distances in Å follow each position.
Sites, in units of the cell vectors:
In 0.5000 0.5000 0.0000  4 La 3.27, 2 Sb 3.50
In 0.2500 0.7500 0.5000  4 La 3.27, 2 Sb 3.50
La 0.8750 0.8846 0.7500  2 Sb 3.16, 2 In 3.27, 2 La 3.50
La 0.3750 0.3654 0.7500  2 Sb 3.16, 2 In 3.27, 2 La 3.50
La 0.1154 0.6250 0.2500  2 Sb 3.16, 2 In 3.27, 2 La 3.50
La 0.6346 0.1250 0.2500  2 Sb 3.16, 2 In 3.27, 2 La 3.50
Sb 0.0000 0.0000 0.0000  4 La 3.16, 2 In 3.50
Sb 0.7500 0.2500 0.5000  4 La 3.16, 2 In 3.50

Computed properties:
SG: I-42d (122)
DOS(E_F) in states/eV/f.u.: 3.9

=====

The winner here is A, beating the second structure by 18.4 kJ/mol of atoms.

=====

## A
Entry from Alexandria via LeMat-Bulk: a relaxed structure of La2InSb (PBE).

Cell lengths 6.4714, 6.4713, 4.5100 Å; angles 90.00, 89.99, 43.09 degrees
Closest atoms and distances in Å follow each position.
Sites, in units of the cell vectors:
In 0.2842 0.2842 0.1250  2 Sb 3.12, 5 La 3.27-3.32
La 0.0124 0.0124 0.1250  3 In 3.27-3.63, 4 Sb 3.33
La 0.7404 0.7404 0.6250  4 In 3.32, 3 Sb 3.34-3.58
Sb 0.4631 0.4631 0.6250  2 In 3.12, 5 La 3.33-3.34

Computed properties:
SG: Amm2 (38)
DOS(E_F) in states/eV/f.u.: 4.3

=====

## B
Entry from Alexandria via LeMat-Bulk: a relaxed structure of La2InSb (PBE).

Cell lengths 9.1626, 9.1626, 9.1626 Å; angles 27.34, 27.34, 27.34 degrees
Closest atoms and distances in Å follow each position.
Sites, in units of the cell vectors:
In 0.7654 0.7654 0.7654  3 Sb 2.92
La 0.0116 0.0116 0.0116  3 In 3.40
La 0.2340 0.2340 0.2340  3 Sb 3.25
Sb 0.4890 0.4890 0.4890  3 In 2.92, 3 La 3.25

Computed properties:
SG: R3m (160)
DOS(E_F) in states/eV/f.u.: 3.2

=====

The winner here is A, beating the second structure by 55.0 kJ/mol of atoms.

=====

## A
Entry from Alexandria via LeMat-Bulk: a relaxed structure of LaInSb3 (PBE).

Cell lengths 5.5609, 5.5609, 5.5609 Å; angles 90.00, 90.00, 90.00 degrees
Closest atoms and distances in Å follow each position.
Sites, in units of the cell vectors:
Sb 0.0000 0.0000 0.5000  2 In 2.78
Sb 0.0000 0.5000 0.0000  2 In 2.78
Sb 0.5000 0.0000 0.0000  2 In 2.78
La 0.5000 0.5000 0.5000  12 Sb 3.93
In 0.0000 0.0000 0.0000  6 Sb 2.78

Computed properties:
SG: Pm-3m (221)
DOS(E_F) in states/eV/f.u.: 4.2

=====

## B
Entry from Alexandria via LeMat-Bulk: a relaxed structure of LaInSb3 (PBE).

Cell lengths 6.0624, 6.0624, 6.0624 Å; angles 90.00, 90.00, 90.00 degrees
Closest atoms and distances in Å follow each position.
Sites, in units of the cell vectors:
Sb 0.0000 0.0000 0.5000  2 La 3.03
Sb 0.5000 0.0000 0.0000  2 La 3.03
Sb 0.0000 0.5000 0.0000  2 La 3.03
La 0.0000 0.0000 0.0000  6 Sb 3.03
In 0.5000 0.5000 0.5000  12 Sb 4.29

Computed properties:
SG: Pm-3m (221)
DOS(E_F) in states/eV/f.u.: 7.0

=====

The winner here is A, beating the second structure by 21.8 kJ/mol of atoms.

=====

## A
Entry from Alexandria via LeMat-Bulk: a relaxed structure of LaScIn3 (PBE).

Cell lengths 5.3985, 5.3985, 5.3985 Å; angles 90.00, 90.00, 90.00 degrees
Closest atoms and distances in Å follow each position.
Sites, in units of the cell vectors:
In 0.5000 0.0000 0.0000  2 Sc 2.70
In 0.0000 0.5000 0.0000  2 Sc 2.70
In 0.0000 0.0000 0.5000  2 Sc 2.70
La 0.5000 0.5000 0.5000  12 In 3.82
Sc 0.0000 0.0000 0.0000  6 In 2.70

Computed properties:
SG: Pm-3m (221)
DOS(E_F) in states/eV/f.u.: 4.2

=====

## B
Entry from Alexandria via LeMat-Bulk: a relaxed structure of LaScIn3 (PBE).

Cell lengths 5.8473, 5.8473, 5.8473 Å; angles 90.00, 90.00, 90.00 degrees
Closest atoms and distances in Å follow each position.
Sites, in units of the cell vectors:
In 0.0000 0.5000 0.0000  2 La 2.92
In 0.5000 0.0000 0.0000  2 La 2.92
In 0.0000 0.0000 0.5000  2 La 2.92
Sc 0.5000 0.5000 0.5000  12 In 4.13
La 0.0000 0.0000 0.0000  6 In 2.92

Computed properties:
SG: Pm-3m (221)
DOS(E_F) in states/eV/f.u.: 4.7

=====

The winner here is A, beating the second structure by 77.6 kJ/mol of atoms.

=====

## A
Entry from Alexandria via LeMat-Bulk: a relaxed structure of La2ScIn2 (PBE).

Cell lengths 8.0181, 8.0181, 4.8183 Å; angles 90.00, 90.00, 90.00 degrees
Closest atoms and distances in Å follow each position.
Sites, in units of the cell vectors:
La 0.1704 0.6704 0.5000  6 In 3.29-3.43
La 0.6704 0.8296 0.5000  6 In 3.29-3.43
La 0.8296 0.3296 0.5000  6 In 3.29-3.43
La 0.3296 0.1704 0.5000  6 In 3.29-3.43
Sc 0.0000 0.0000 0.0000  4 In 3.14
Sc 0.5000 0.5000 0.0000  4 In 3.14
In 0.8683 0.6317 0.0000  1 In 2.99, 2 Sc 3.14, 2 La 3.29
In 0.1317 0.3683 0.0000  1 In 2.99, 2 Sc 3.14, 2 La 3.29
In 0.3683 0.8683 0.0000  1 In 2.99, 2 Sc 3.14, 2 La 3.29
In 0.6317 0.1317 0.0000  1 In 2.99, 2 Sc 3.14, 2 La 3.29

Computed properties:
SG: P4/mbm (127)
DOS(E_F) in states/eV/f.u.: 12.5

=====

## B
Entry from Alexandria via LeMat-Bulk: a relaxed structure of La2ScIn2 (PBE).

Cell lengths 4.9416, 6.1811, 6.1811 Å; angles 67.31, 66.44, 66.44 degrees
Closest atoms and distances in Å follow each position.
Sites, in units of the cell vectors:
La 0.1849 0.3151 0.3151  1 La 3.34, 6 In 3.38
La 0.8151 0.6849 0.6849  1 La 3.34, 6 In 3.38
Sc 0.0000 0.0000 0.0000  4 In 3.07
In 0.5000 0.7335 0.2665  2 Sc 3.07, 1 In 3.20, 6 La 3.38
In 0.5000 0.2665 0.7335  2 Sc 3.07, 1 In 3.20, 6 La 3.38

Computed properties:
SG: Immm (71)
DOS(E_F) in states/eV/f.u.: 5.3

=====

The winner here is A, beating the second structure by 1.2 kJ/mol of atoms.